## Na2TcF6 (PBE-GGA)

Data for a relaxed structure of Na2TcF6.

Results
Energy: -92.99 eV per cell
Excess energy over the best structure of this formula in the dataset: 0 meV/atom

```
18
Lattice="4.8835 0.0000 0.0000 0.0000 4.8835 0.0000 0.0000 0.0000 9.7977" Properties=species:S:1:pos:R:3 pbc="T T T"
F 0.9227 0.9227 1.4554
F 3.8187 3.8187 4.8988
Na 2.4417 2.4417 8.1781
F 3.3645 1.5190 3.4434
F 1.5190 3.3645 3.4434
F 1.3770 3.5065 0.0000
F 1.5190 3.3645 6.3542
Na 0.0000 0.0000 6.5184
Na 0.0000 0.0000 3.2793
F 3.9607 3.9607 8.3423
F 0.9227 0.9227 8.3423
Tc 2.4417 2.4417 4.8988
Tc 0.0000 0.0000 0.0000
F 3.3645 1.5190 6.3542
Na 2.4417 2.4417 1.6196
F 3.9607 3.9607 1.4554
F 1.0648 1.0648 4.8988
F 3.5065 1.3770 0.0000
```